DFT (PBE) results for a relaxed ZnAsAu2 crystal.

Total magnetic moment ... 0.0 Bohr magnetons per cell
Energy ... -3.09 eV per atom
Energy of formation ... 3 kJ per mole of atoms
Space-group type ... Pmmm, No. 47

a b c (Å): 3.0397 3.2208 7.2192
angles (deg): 90.00 90.00 90.00
Fractional positions:
Zn 0.0000 0.0000 0.0000
As 0.0000 0.0000 0.5000
Au 0.5000 0.5000 0.2262
Au 0.5000 0.5000 0.7738



DFT (PBE) results for a relaxed Be3VC crystal.

Total magnetic moment ... 0.0 Bohr magnetons per cell
Energy ... -3.18 eV per atom
Energy of formation ... 263 kJ per mole of atoms
Space-group type ... Pm-3m, No. 221

a b c (Å): 4.2250 4.2250 4.2250
angles (deg): 90.00 90.00 90.00
Fractional positions:
Be 0.0000 0.0000 0.5000
Be 0.0000 0.5000 0.0000
Be 0.5000 0.0000 0.0000
V 0.0000 0.0000 0.0000
C 0.5000 0.5000 0.5000



DFT (PBE) results for a relaxed Cr2SiPd8 crystal.

Total magnetic moment ... 6.5 Bohr magnetons per cell
Raw formation energy ... -18.3 kJ per mole of atoms
Energy ... -6.21 eV per atom
Space-group type ... Immm, No. 71

a b c (Å): 7.6050 7.6050 7.6050
angles (deg): 146.18 136.17 56.48
Fractional positions:
Cr 0.1889 0.1889 0.0000
Cr 0.8111 0.8111 0.0000
Si 0.5000 0.5000 0.0000
Pd 0.1042 0.3647 0.7395
Pd 0.2473 0.0000 0.2473
Pd 0.3146 0.8146 0.5000
Pd 0.3748 0.6353 0.7395
Pd 0.6252 0.3647 0.2605
Pd 0.6854 0.1854 0.5000
Pd 0.7527 0.0000 0.7527
Pd 0.8958 0.6353 0.2605